1.
Compound: CaSe2IN
Source: Alexandria
Functional: PBE
Structure: relaxed

Results
As for the crystal system: tetragonal. The space group is P4/mmm (123).

Cell: 5.5275 5.5275 4.0211 Å, 90.00 90.00 90.00°
Closest atoms and distances in Å follow each position.
Sites, in units of the cell vectors:
Ca: 0.5000 0.5000 0.5000  8 Se 3.42
Se: 0.5000 0.0000 0.0000  2 I 2.76
Se: 0.0000 0.5000 0.0000  2 I 2.76
I: 0.0000 0.0000 0.0000  2 N 2.01
N: 0.0000 0.0000 0.5000  2 I 2.01

2.
Compound: CaSe2IN
Source: Alexandria
Functional: PBE
Structure: relaxed

Results
As for the crystal system: tetragonal. The space group is P4/mmm (123).

Cell: 5.6259 5.6259 4.3372 Å, 90.00 90.00 90.00°
Closest atoms and distances in Å follow each position.
Sites, in units of the cell vectors:
I: 0.5000 0.5000 0.5000  8 Se 3.55
Se: 0.0000 0.5000 0.0000  2 Ca 2.81
Se: 0.5000 0.0000 0.0000  2 Ca 2.81
Ca: 0.0000 0.0000 0.0000  2 N 2.17
N: 0.0000 0.0000 0.5000  2 Ca 2.17

3.
Compound: CaSiI2N
Source: Alexandria
Functional: PBE
Structure: relaxed

Results
As for the crystal system: tetragonal. The space group is P4/mmm (123).

Cell: 6.1023 6.1023 4.6049 Å, 90.00 90.00 90.00°
Closest atoms and distances in Å follow each position.
Sites, in units of the cell vectors:
I: 0.0000 0.5000 0.0000  2 Ca 3.05
I: 0.5000 0.0000 0.0000  2 Ca 3.05
Si: 0.5000 0.5000 0.5000  8 I 3.82
Ca: 0.0000 0.0000 0.0000  2 N 2.30
N: 0.0000 0.0000 0.5000  2 Ca 2.30

4.
Compound: CaSiI2N
Source: Alexandria
Functional: PBE
Structure: relaxed

Results
As for the crystal system: tetragonal. The space group is P4/mmm (123).

Cell: 5.9855 5.9855 3.5107 Å, 90.00 90.00 90.00°
Closest atoms and distances in Å follow each position.
Sites, in units of the cell vectors:
I: 0.0000 0.5000 0.0000  2 Si 2.99
I: 0.5000 0.0000 0.0000  2 Si 2.99
N: 0.0000 0.0000 0.5000  2 Si 1.76
Si: 0.0000 0.0000 0.0000  2 N 1.76
Ca: 0.5000 0.5000 0.5000  8 I 3.47, 2 Ca 3.51

5.
Compound: SrCa2IN
Source: Alexandria
Functional: PBE
Structure: relaxed

Results
As for the crystal system: tetragonal. The space group is P4/mmm (123).

Cell: 6.7883 4.4249 6.7883 Å, 90.00 90.00 90.00°
Closest atoms and distances in Å follow each position.
Sites, in units of the cell vectors:
I: 0.5000 0.5000 0.5000  8 Ca 4.05, 2 I 4.42
N: 0.0000 0.5000 0.0000  2 Sr 2.21
Ca: 0.5000 0.0000 0.0000  2 Sr 3.39
Ca: 0.0000 0.0000 0.5000  2 Sr 3.39
Sr: 0.0000 0.0000 0.0000  2 N 2.21

6.
Compound: SrCaIN2
Source: Alexandria
Functional: PBE
Structure: relaxed

Results
As for the crystal system: tetragonal. The space group is P4/mmm (123).

Cell: 4.7064 4.7064 5.8923 Å, 90.00 90.00 90.00°
Closest atoms and distances in Å follow each position.
Sites, in units of the cell vectors:
N: 0.0000 0.5000 0.0000  2 Ca 2.35
N: 0.5000 0.0000 0.0000  2 Ca 2.35
Ca: 0.0000 0.0000 0.0000  4 N 2.35
Sr: 0.5000 0.5000 0.5000  4 I 3.33
I: 0.0000 0.0000 0.5000  2 Ca 2.95

7.
Compound: SrCa2IN
Source: Alexandria
Functional: PBE
Structure: relaxed

Results
As for the crystal system: tetragonal. The space group is P4/mmm (123).

Cell: 4.9528 5.5954 4.9528 Å, 90.00 90.00 90.00°
Closest atoms and distances in Å follow each position.
Sites, in units of the cell vectors:
I: 0.5000 0.5000 0.5000  4 Sr 3.50, 8 Ca 3.74
Ca: 0.0000 0.0000 0.5000  2 N 2.48
Ca: 0.5000 0.0000 0.0000  2 N 2.48
Sr: 0.0000 0.5000 0.0000  2 N 2.80
N: 0.0000 0.0000 0.0000  4 Ca 2.48

8.
Compound: SrCaIN2
Source: Alexandria
Functional: PBE
Structure: relaxed

Results
As for the crystal system: tetragonal. The space group is P4/mmm (123).

Cell: 4.8056 4.8056 6.2300 Å, 90.00 90.00 90.00°
Closest atoms and distances in Å follow each position.
Sites, in units of the cell vectors:
Sr: 0.0000 0.0000 0.0000  4 N 2.40
Ca: 0.5000 0.5000 0.5000  4 I 3.40
N: 0.0000 0.5000 0.0000  2 Sr 2.40
N: 0.5000 0.0000 0.0000  2 Sr 2.40
I: 0.0000 0.0000 0.5000  2 Sr 3.12, 4 Ca 3.40

9.
Compound: SrCaIN
Source: Alexandria
Functional: PBE
Structure: relaxed

Results
As for the crystal system: trigonal. The space group is R3m (160).

Cell: 3.9246 3.9246 7.9117 Å, 75.64 75.64 60.00°
Closest atoms and distances in Å follow each position.
Sites, in units of the cell vectors:
Ca: 0.5797 0.5797 0.2610  3 N 2.55
I: 0.3534 0.3534 0.9399  3 Ca 3.33, 3 Sr 3.46
N: 0.8611 0.8611 0.4167  3 Ca 2.55, 3 Sr 2.64
Sr: 0.1353 0.1353 0.5942  3 N 2.64

10.
Compound: CaTaIN2
Source: Alexandria
Functional: PBE
Structure: relaxed

Results
As for the crystal system: tetragonal. The space group is P4/mmm (123).

Cell: 4.1600 4.1600 5.6716 Å, 90.00 90.00 90.00°
Closest atoms and distances in Å follow each position.
Sites, in units of the cell vectors:
N: 0.0000 0.5000 0.0000  2 Ta 2.08
N: 0.5000 0.0000 0.0000  2 Ta 2.08
Ca: 0.5000 0.5000 0.5000  4 I 2.94
Ta: 0.0000 0.0000 0.0000  4 N 2.08
I: 0.0000 0.0000 0.5000  2 Ta 2.84, 4 Ca 2.94

11.
Compound: CaTaIN2
Source: Alexandria
Functional: PBE
Structure: relaxed

Results
As for the crystal system: tetragonal. The space group is P4/mmm (123).

Cell: 4.3030 4.3030 5.5607 Å, 90.00 90.00 90.00°
Closest atoms and distances in Å follow each position.
Sites, in units of the cell vectors:
Ta: 0.5000 0.5000 0.5000  4 I 3.04
I: 0.0000 0.0000 0.5000  2 Ca 2.78, 4 Ta 3.04
N: 0.5000 0.0000 0.0000  2 Ca 2.15
N: 0.0000 0.5000 0.0000  2 Ca 2.15
Ca: 0.0000 0.0000 0.0000  4 N 2.15

12.
Compound: CaTeIN2
Source: Alexandria
Functional: PBE
Structure: relaxed

Results
As for the crystal system: tetragonal. The space group is P4/mmm (123).

Cell: 4.2264 4.2264 6.4620 Å, 90.00 90.00 90.00°
Closest atoms and distances in Å follow each position.
Sites, in units of the cell vectors:
Ca: 0.5000 0.5000 0.5000  4 I 2.99
N: 0.0000 0.5000 0.0000  2 Te 2.11
N: 0.5000 0.0000 0.0000  2 Te 2.11
Te: 0.0000 0.0000 0.0000  4 N 2.11
I: 0.0000 0.0000 0.5000  4 Ca 2.99, 2 Te 3.23

The density of states at the Fermi level results, record by record, are as follows: 3.52; 8.58; 2.79; 1.58; 3.90; 4.66; 3.64; 5.44; 0.00; 2.30; 7.59; 2.03 states/eV per cell.
The ΔE_f (raw) results, record by record, are as follows: 0.327; 0.822; 0.597; -0.217; 0.452; 0.353; -0.642; 0.600; -1.116; -0.170; 1.958; 0.783 eV per atom.